# NpPt3

Crystalline NpPt3 at its relaxed geometry (GGA-PBE, Alexandria via LeMat-Bulk).

Lattice parameters (Å, degrees): 3.921 3.921 10.589 90.00 90.00 90.00
Space group I4/mmm (No. 139)
One atom of each set of equivalent atoms:
Np 0.000 0.000 0.000 (multiplicity 2)
Pt 0.000 0.000 0.245 (multiplicity 4)
Pt 0.000 0.000 0.500 (multiplicity 2)

Properties
- ΔH_f (0 K): -156 meV/atom

# Tl3Ag5I12

Crystalline Tl3Ag5I12 at its relaxed geometry (GGA-PBE, Alexandria via LeMat-Bulk).

Lattice parameters (Å, degrees): 18.613 18.613 18.613 90.00 90.00 90.00
Space group Ia-3d (No. 230)
One atom of each set of equivalent atoms:
Tl 0.000 0.250 0.125 (multiplicity 24)
Ag 0.000 0.000 0.000 (multiplicity 16)
Ag 0.000 0.250 0.375 (multiplicity 24)
I 0.029 0.051 0.647 (multiplicity 96)

Properties
- Raw total energy: -2.2378 eV/atom

# Rb3Sn4Pb7

Crystalline Rb3Sn4Pb7 at its relaxed geometry (GGA-PBE, Alexandria via LeMat-Bulk).

Lattice parameters (Å, degrees): 19.291 5.429 11.838 90.00 127.19 90.00
Space group C2/m (No. 12)
One atom of each set of equivalent atoms:
Rb 0.000 0.000 0.000 (multiplicity 2)
Rb 0.203 0.500 0.704 (multiplicity 4)
Sn 0.140 0.000 0.863 (multiplicity 4)
Sn 0.149 0.500 0.286 (multiplicity 4)
Pb 0.000 0.000 0.500 (multiplicity 2)
Pb 0.003 0.500 0.689 (multiplicity 4)
Pb 0.155 0.000 0.433 (multiplicity 4)
Pb 0.162 0.500 0.027 (multiplicity 4)

Properties
- ΔH_f (0 K): -102 meV/atom

# PuSnN

Crystalline PuSnN at its relaxed geometry (GGA-PBE, Alexandria via LeMat-Bulk).

Lattice parameters (Å, degrees): 3.7331 3.7331 10.9284 90.00 90.00 120.00
Space group P-3m1 (No. 164)
One atom of each set of equivalent atoms:
Pu 0.3333 0.6667 0.3725 (multiplicity 2)
Sn 0.0000 0.0000 0.1309 (multiplicity 2)
N 0.3333 0.6667 0.5809 (multiplicity 2)

Properties
- ΔE to the lowest computed polymorph: 22.1 kJ/mol of formula units

# BaTcRh2

Crystalline BaTcRh2 at its relaxed geometry (GGA-PBE, Alexandria via LeMat-Bulk).

Lattice parameters (Å, degrees): 7.645 4.411 6.337 90.00 113.64 90.00
Space group Cm (No. 8)
One atom of each set of equivalent atoms:
Ba 0.000 0.000 0.000 (multiplicity 2)
Tc 0.315 0.500 0.447 (multiplicity 2)
Rh 0.188 0.000 0.566 (multiplicity 2)
Rh 0.488 0.000 0.468 (multiplicity 2)

Properties
- ΔE to the lowest computed polymorph: 16.2 kJ/mol of formula units
- ΔH_f (0 K): 206 meV/atom

# TiSbI2N

Crystalline TiSbI2N at its relaxed geometry (GGA-PBE, Alexandria via LeMat-Bulk).

Lattice parameters (Å, degrees): 4.821 4.821 4.882 90.00 90.00 90.00
Space group P4/mmm (No. 123)
One atom of each set of equivalent atoms:
Ti 0.000 0.000 0.000 (multiplicity 1)
Sb 0.500 0.500 0.000 (multiplicity 1)
I 0.000 0.500 0.500 (multiplicity 2)
N 0.500 0.500 0.500 (multiplicity 1)

Properties
- ΔE to the lowest computed polymorph: 456.6 kJ/mol of formula units